A plane-wave DFT calculation with SCAN was carried out for CuNiMo3 at its PBEsol-relaxed geometry.

Cell: 4.3933 4.3933 4.3933 Å, 90.00 90.00 90.00°
With the nearest neighbours (Å) after each atom.
Positions (direct):
Mo1 0.0000 0.0000 0.5000  2 Cu 2.20
Mo2 0.5000 0.0000 0.0000  2 Cu 2.20
Mo3 0.0000 0.5000 0.0000  2 Cu 2.20
Ni1 0.5000 0.5000 0.5000  12 Mo 3.11
Cu1 0.0000 0.0000 0.0000  6 Mo 2.20

As for the crystal system: cubic. The density of states at the Fermi level comes out at 6.47 states/eV/f.u. For the formation energy, the calculation gives 184 kJ/mol of atoms. As for the volume: 16.96 Å³/atom. The energy above the most stable polymorph in this dataset is 339.3 meV/atom. As for the symmetry: Pm-3m. The total energy comes out at -126.5 eV for the cell shown.